A plane-wave DFT calculation with PBE was carried out for a relaxed structure of TlBiI4.

```
TlBiI4
1.0
4.682 -9.700 0.000
4.682 9.700 0.000
-3.895 0.000 6.783
Tl Bi I
2 2 8
direct
0.190 0.810 0.750
0.810 0.190 0.250
0.434 0.566 0.750
0.566 0.434 0.250
0.100 0.446 0.770
0.227 0.334 0.294
0.334 0.227 0.794
0.446 0.100 0.270
0.554 0.900 0.730
0.666 0.773 0.206
0.773 0.666 0.706
0.900 0.554 0.230
```

Properties
- SG = No. 15
- magnetization (μB/f.u.) = 0.0
- energy relative to the elements, uncorrected (eV/atom) = -0.52
- energy (Ha/atom) = -0.095